1.
Density functional theory data (GGA-PBE) for Ag17Pt2 after structural relaxation.

Summary:
Theoretical density: 10.0 g cm⁻³
Space-group type: R-3m
D(E_F): 6.324 states/eV per cell
Calculated formation energy: 5.6 kcal/mol of atoms

Lattice parameters (Å, degrees): 7.2662 7.2662 7.2662 80.15 80.15 80.15
Element x y z (fractional)
1 Ag 0.1645 0.6637 0.6637
2 Ag 0.3363 0.8355 0.3363
3 Ag 0.3350 0.6650 0.0000
4 Ag 0.3350 0.0000 0.6650
5 Ag 0.6637 0.6637 0.1645
6 Ag 0.8355 0.3363 0.3363
7 Ag 0.3363 0.3363 0.8355
8 Ag 0.0000 0.0000 0.5000
9 Ag 0.0000 0.5000 0.0000
10 Ag 0.6650 0.3350 0.0000
11 Ag 0.6650 0.0000 0.3350
12 Ag 0.0000 0.3350 0.6650
13 Ag 0.0000 0.6650 0.3350
14 Ag 0.9088 0.9088 0.9088
15 Ag 0.6637 0.1645 0.6637
16 Ag 0.5000 0.0000 0.0000
17 Ag 0.0912 0.0912 0.0912
18 Pt 0.2787 0.2787 0.2787
19 Pt 0.7213 0.7213 0.7213

***

2.
Density functional theory data (GGA-PBE) for Li2Mg3AgPb3 after structural relaxation.

Summary:
Theoretical density: 6.6 g cm⁻³
Space-group type: P-62m
D(E_F): 3.393 states/eV per cell
Calculated formation energy: -3.2 kcal/mol of atoms

Lattice parameters (Å, degrees): 3.4470 8.2788 8.2788 120.00 90.00 90.00
Element x y z (fractional)
1 Pb 0.0000 0.3833 0.0000
2 Pb 0.0000 0.0000 0.3833
3 Pb 0.0000 0.6167 0.6167
4 Mg 0.5000 0.0000 0.7272
5 Mg 0.5000 0.7272 0.0000
6 Mg 0.5000 0.2728 0.2728
7 Li 0.5000 0.6667 0.3333
8 Li 0.5000 0.3333 0.6667
9 Ag 0.0000 0.0000 0.0000

***

> Which value of calculated formation energy does entry 1 give?

5.6 kcal/mol of atoms